{"formula": "Sr2ZnCd6Ag", "functional": "PBE", "state": "relaxed", "cell": [[7.737, 0.000, 0.000], [0.000, 7.109, 0.000], [0.000, 0.000, 9.879]], "species": ["Sr", "Sr", "Sr", "Sr", "Zn", "Zn", "Cd", "Cd", "Cd", "Cd", "Cd", "Cd", "Cd", "Cd", "Cd", "Cd", "Cd", "Cd", "Ag", "Ag"], "frac_coords": [[0.500, 0.772, 0.240], [0.000, 0.228, 0.740], [0.500, 0.772, 0.760], [0.000, 0.228, 0.260], [0.000, 0.558, 0.500], [0.500, 0.442, 0.000], [0.500, 0.273, 0.249], [0.500, 0.273, 0.751], [0.000, 0.727, 0.251], [0.000, 0.727, 0.749], [0.194, 0.896, 0.500], [0.806, 0.896, 0.500], [0.316, 0.444, 0.500], [0.684, 0.444, 0.500], [0.816, 0.556, 0.000], [0.184, 0.556, 0.000], [0.306, 0.104, 0.000], [0.694, 0.104, 0.000], [0.500, 0.086, 0.500], [0.000, 0.914, 0.000]], "dft_energy_ev_per_cell": -29.18, "density_g_cm3": 6.3, "ef_ev_per_atom": -0.16}


{"formula": "SrZnCdAg3", "functional": "PBE", "state": "relaxed", "cell": [[6.199, 0.000, 0.000], [0.000, 6.633, 0.000], [0.000, -3.317, 6.815]], "species": ["Sr", "Sr", "Zn", "Zn", "Cd", "Cd", "Ag", "Ag", "Ag", "Ag", "Ag", "Ag"], "frac_coords": [[0.750, 0.288, 0.577], [0.250, 0.712, 0.423], [0.250, 0.937, 0.874], [0.750, 0.063, 0.126], [0.250, 0.352, 0.703], [0.750, 0.648, 0.297], [0.250, 0.142, 0.284], [0.000, 0.288, 0.000], [0.500, 0.712, 0.000], [0.500, 0.288, 0.000], [0.000, 0.712, 0.000], [0.750, 0.858, 0.716]], "dft_energy_ev_per_cell": -25.84, "density_g_cm3": 7.0, "ef_ev_per_atom": -0.08}


{"formula": "Sr2Zn3Cd4Ag", "functional": "PBE", "state": "relaxed", "cell": [[-1.377, -1.914, 3.791], [-1.573, -3.472, -2.325], [10.856, -5.649, 1.090]], "species": ["Sr", "Sr", "Zn", "Zn", "Zn", "Cd", "Cd", "Cd", "Cd", "Ag"], "frac_coords": [[0.500, 0.000, 0.247], [0.000, 0.500, 0.753], [0.000, 0.000, 0.500], [0.500, 0.000, 0.860], [0.000, 0.500, 0.140], [0.500, 0.500, 0.000], [0.000, 0.000, 0.000], [0.500, 0.000, 0.640], [0.000, 0.500, 0.360], [0.500, 0.500, 0.500]], "dft_energy_ev_per_cell": -15.80, "density_g_cm3": 6.3, "ef_ev_per_atom": -0.21}